Computed, not measured: a relaxed LiUNi crystal at the GGA-PBE level of DFT.

The space group is F-43m (No. 216) and the conventional cell measures 6.096, 6.096 and 6.096 Å, with angles of 90.00, 90.00 and 90.00 degrees. The distinct sites, in fractional coordinates, are Li at (0.000, 0.000, 0.000), U at (0.250, 0.250, 0.250) and Ni at (0.000, 0.000, 0.500).

The spin magnetization comes out at 3.12 μB/f.u. The energy above the lowest structure with this stoichiometry comes out at 533.6 meV/atom.